No. 1
{"formula": "DyEr2FeSn3Ir2", "functional": "GGA-PBE", "state": "relaxed", "cell": [[3.736, 0.000, 0.000], [0.000, 6.570, 3.788], [0.000, -6.570, 3.788]], "species": ["Dy", "Er", "Er", "Fe", "Sn", "Sn", "Sn", "Ir", "Ir"], "frac_coords": [[0.000, 0.000, 0.000], [0.000, 0.407, 0.814], [0.000, 0.814, 0.407], [0.000, 0.408, 0.408], [0.500, 0.150, 0.408], [0.500, 0.408, 0.150], [0.500, 0.664, 0.664], [0.500, 0.074, 0.739], [0.500, 0.739, 0.074]], "density_kg_m3": 11550, "total_energy_ev_per_atom": -6.45}

No. 2
{"formula": "TlAgSnS3", "functional": "GGA-PBE", "state": "relaxed", "cell": [[11.240, 0.000, 0.000], [0.000, 3.735, 0.000], [0.000, 0.000, 14.078]], "species": ["Tl", "Tl", "Tl", "Tl", "Ag", "Ag", "Ag", "Ag", "Sn", "Sn", "Sn", "Sn", "S", "S", "S", "S", "S", "S", "S", "S", "S", "S", "S", "S"], "frac_coords": [[0.238, 0.250, 0.047], [0.262, 0.750, 0.547], [0.738, 0.250, 0.453], [0.762, 0.750, 0.953], [0.246, 0.250, 0.360], [0.254, 0.750, 0.860], [0.746, 0.250, 0.140], [0.754, 0.750, 0.640], [0.032, 0.250, 0.735], [0.468, 0.750, 0.235], [0.532, 0.250, 0.765], [0.968, 0.750, 0.265], [0.026, 0.250, 0.382], [0.027, 0.750, 0.864], [0.248, 0.250, 0.708], [0.252, 0.750, 0.208], [0.473, 0.250, 0.364], [0.474, 0.750, 0.882], [0.526, 0.250, 0.118], [0.527, 0.750, 0.636], [0.748, 0.250, 0.792], [0.752, 0.750, 0.292], [0.973, 0.250, 0.136], [0.974, 0.750, 0.618]], "density_kg_m3": 5924, "e_above_lowest_polymorph_ev_per_atom": 0.040}